(1)
Material: SnRh2Pb
Method: DFT, GGA-PBE
State: relaxed

a = 4.156 Å, b = 4.156 Å, c = 5.971 Å
α = 69.63°, β = 69.63°, γ = 60.00°
Fractional coordinates of all 4 atoms:
Sn: 0.673 0.673 0.980
Rh: 0.071 0.071 0.788
Rh: 0.263 0.263 0.210
Pb: 0.493 0.493 0.521

Summary:
The symmetry is R3m.

(2)
Material: Sn2RhPb
Method: DFT, GGA-PBE
State: relaxed

a = 5.066 Å, b = 5.066 Å, c = 9.365 Å
α = 74.31°, β = 74.31°, γ = 90.00°
Fractional coordinates of all 8 atoms:
Pb: 0.000 0.000 0.000
Pb: 0.750 0.250 0.500
Rh: 0.500 0.500 0.000
Rh: 0.250 0.750 0.500
Sn: 0.536 0.125 0.250
Sn: 0.214 0.625 0.250
Sn: 0.375 0.464 0.750
Sn: 0.875 0.786 0.750

Summary:
The symmetry is I-42d.

(3)
Material: Sn2RhPb
Method: DFT, GGA-PBE
State: relaxed

a = 3.331 Å, b = 3.331 Å, c = 8.320 Å
α = 90.00°, β = 90.00°, γ = 90.00°
Fractional coordinates of all 4 atoms:
Pb: 0.500 0.500 0.500
Rh: 0.500 0.500 0.000
Sn: 0.000 0.000 0.807
Sn: 0.000 0.000 0.193

Summary:
The symmetry is P4/mmm.

(4)
Material: SnRhPb2
Method: DFT, GGA-PBE
State: relaxed

a = 3.406 Å, b = 3.406 Å, c = 10.557 Å
α = 80.72°, β = 80.72°, γ = 60.00°
Fractional coordinates of all 4 atoms:
Pb: 0.102 0.102 0.693
Pb: 0.898 0.898 0.307
Rh: 0.500 0.500 0.500
Sn: 0.000 0.000 0.000

Summary:
The symmetry is R-3m.

(5)
Material: Sn2Rh2Pb
Method: DFT, GGA-PBE
State: relaxed

a = 4.237 Å, b = 4.237 Å, c = 6.772 Å
α = 71.77°, β = 71.77°, γ = 90.00°
Fractional coordinates of all 5 atoms:
Pb: 0.000 0.000 0.000
Rh: 0.386 0.386 0.229
Rh: 0.614 0.614 0.771
Sn: 0.750 0.250 0.500
Sn: 0.250 0.750 0.500

Summary:
Its energy relative to the lowest polymorph listed for this composition is 2.885 kcal/mol of atoms. The symmetry is I4/mmm.

(6)
Material: Sn2Rh2Pb
Method: DFT, GGA-PBE
State: relaxed

a = 7.986 Å, b = 7.986 Å, c = 3.133 Å
α = 90.00°, β = 90.00°, γ = 90.00°
Fractional coordinates of all 10 atoms:
Pb: 0.000 0.000 0.000
Pb: 0.500 0.500 0.000
Rh: 0.358 0.858 0.000
Rh: 0.858 0.642 0.000
Rh: 0.642 0.142 0.000
Rh: 0.142 0.358 0.000
Sn: 0.150 0.650 0.500
Sn: 0.650 0.850 0.500
Sn: 0.850 0.350 0.500
Sn: 0.350 0.150 0.500

Summary:
Its energy relative to the lowest polymorph listed for this composition is 0.000 kcal/mol of atoms. The symmetry is P4/mbm.

(7)
Material: SnRhPb2
Method: DFT, GGA-PBE
State: relaxed

a = 4.368 Å, b = 4.368 Å, c = 11.019 Å
α = 78.57°, β = 78.57°, γ = 90.00°
Fractional coordinates of all 8 atoms:
Pb: 0.613 0.125 0.250
Pb: 0.137 0.625 0.250
Pb: 0.375 0.387 0.750
Pb: 0.875 0.863 0.750
Rh: 0.500 0.500 0.000
Rh: 0.250 0.750 0.500
Sn: 0.000 0.000 0.000
Sn: 0.750 0.250 0.500

Summary:
The symmetry is I-42d.

(8)
Material: SnRh2Pb
Method: DFT, GGA-PBE
State: relaxed

a = 5.890 Å, b = 5.890 Å, c = 7.525 Å
α = 66.96°, β = 66.96°, γ = 90.00°
Fractional coordinates of all 8 atoms:
Pb: 0.000 0.000 0.000
Pb: 0.750 0.250 0.500
Rh: 0.612 0.125 0.250
Rh: 0.138 0.625 0.250
Rh: 0.375 0.388 0.750
Rh: 0.875 0.862 0.750
Sn: 0.500 0.500 0.000
Sn: 0.250 0.750 0.500

Summary:
The symmetry is I-42d.

(9)
Material: Sn2Rh3Pb2
Method: DFT, GGA-PBE
State: relaxed

a = 3.962 Å, b = 6.576 Å, c = 6.306 Å
α = 84.27°, β = 90.20°, γ = 107.64°
Fractional coordinates of all 7 atoms:
Sn: 0.647 0.293 0.946
Sn: 0.353 0.707 0.054
Rh: 0.000 0.000 0.000
Rh: 0.770 0.540 0.301
Rh: 0.230 0.460 0.699
Pb: 0.889 0.779 0.636
Pb: 0.111 0.221 0.364

Summary:
The symmetry is P-1.

(10)
Material: SnRh2Pb
Method: DFT, GGA-PBE
State: relaxed

a = 3.249 Å, b = 3.249 Å, c = 7.081 Å
α = 90.00°, β = 90.00°, γ = 90.00°
Fractional coordinates of all 4 atoms:
Pb: 0.500 0.500 0.500
Rh: 0.000 0.000 0.786
Rh: 0.000 0.000 0.214
Sn: 0.500 0.500 0.000

Summary:
The symmetry is P4/mmm.

(11)
Material: Sn2RhPb
Method: DFT, GGA-PBE
State: relaxed

a = 3.527 Å, b = 3.527 Å, c = 9.889 Å
α = 79.73°, β = 79.73°, γ = 60.00°
Fractional coordinates of all 4 atoms:
Pb: 0.000 0.000 0.000
Rh: 0.500 0.500 0.500
Sn: 0.107 0.107 0.680
Sn: 0.893 0.893 0.320

Summary:
The symmetry is R-3m.

(12)
Material: Sr2Sn2Rh5Pb
Method: DFT, GGA-PBE
State: relaxed

a = 3.702 Å, b = 10.562 Å, c = 10.562 Å
α = 90.00°, β = 90.00°, γ = 90.00°
Fractional coordinates of all 20 atoms:
Sr: 0.000 0.673 0.173
Sr: 0.000 0.327 0.827
Sr: 0.000 0.173 0.327
Sr: 0.000 0.827 0.673
Sn: 0.000 0.126 0.626
Sn: 0.000 0.874 0.374
Sn: 0.000 0.626 0.874
Sn: 0.000 0.374 0.126
Rh: 0.500 0.203 0.065
Rh: 0.500 0.797 0.935
Rh: 0.500 0.065 0.797
Rh: 0.500 0.703 0.435
Rh: 0.500 0.935 0.203
Rh: 0.500 0.297 0.565
Rh: 0.500 0.565 0.703
Rh: 0.500 0.435 0.297
Rh: 0.500 0.500 0.000
Rh: 0.500 0.000 0.500
Pb: 0.000 0.000 0.000
Pb: 0.000 0.500 0.500

Summary:
The symmetry is P4/mbm.

In the order shown, the computed size of the total moment values come out to 0.00; 0.00; 0.00; 0.00; 0.00; 0.00; 0.00; 0.00; 0.00; 0.00; 0.00; 0.00 μB per formula unit.
In the order shown, the computed energy relative to the elements values come out to -0.46; 0.47; -0.64; 0.38; -0.58; -1.21; 1.12; 1.26; -1.03; -0.68; -0.36; -3.59 eV per formula unit.